Entry i
Material: CaRu2Br
Method: DFT, PBE
State: optimized geometry

- N(E_F): 5.6 states/eV/cell
- Space-group type: No. 47
- Magnetic moment: 0.0 μB per formula unit

Lattice parameters (Å, degrees): 3.121 4.741 5.605 90.00 90.00 90.00
Atoms (fractional coordinates):
Ru 0.000 0.000 0.951
Ru 0.000 0.000 0.549
Ca 0.500 0.500 0.750
Br 0.500 0.500 0.250


Entry ii
Material: CaRu2Br
Method: DFT, PBE
State: optimized geometry

- N(E_F): 4.8 states/eV/cell
- Space-group type: No. 123
- Magnetic moment: 0.0 μB per formula unit

Lattice parameters (Å, degrees): 5.971 3.709 3.709 90.00 90.00 90.00
Atoms (fractional coordinates):
Br 0.500 0.500 0.000
Ca 0.500 0.000 0.500
Ru 0.000 0.500 0.500
Ru 0.000 0.000 0.000


Which structure wins on stability? entry ii wins.


Entry i
Material: CaRu2Br
Method: DFT, PBE
State: optimized geometry

- N(E_F): 5.7 states/eV/cell
- Space-group type: No. 65
- Magnetic moment: 0.0 μB per formula unit

Lattice parameters (Å, degrees): 5.217 5.217 3.175 90.00 90.00 119.57
Atoms (fractional coordinates):
Ca 0.000 0.500 0.500
Ru 0.000 0.000 0.000
Ru 0.500 0.500 0.000
Br 0.500 0.000 0.500


Entry ii
Material: CaRu2Br
Method: DFT, PBE
State: optimized geometry

- N(E_F): 4.5 states/eV/cell
- Space-group type: No. 216
- Magnetic moment: 3.5 μB per formula unit

Lattice parameters (Å, degrees): 4.764 4.764 4.764 60.00 60.00 60.00
Last column: magnetic moment on the atom in μB.
Atoms (fractional coordinates):
Ca 0.750 0.750 0.750  0.02
Ru 0.000 0.000 0.000  1.70
Ru 0.250 0.250 0.250  1.56
Br 0.500 0.500 0.500  0.09


Entry iii
Material: CaRu2Br
Method: DFT, PBE
State: optimized geometry

- N(E_F): 5.5 states/eV/cell
- Space-group type: No. 71
- Magnetic moment: 0.0 μB per formula unit

Lattice parameters (Å, degrees): 5.831 5.831 5.831 149.66 133.54 56.51
Atoms (fractional coordinates):
Ru 0.524 0.524 0.000
Ru 0.976 0.976 0.000
Br 0.750 0.250 0.500
Ca 0.250 0.750 0.500


Which structure wins on stability? entry iii wins.


Entry i
Material: CaRu2Br
Method: DFT, PBE
State: optimized geometry

- N(E_F): 5.4 states/eV/cell
- Space-group type: No. 47
- Magnetic moment: 2.3 μB per formula unit

Lattice parameters (Å, degrees): 3.176 4.493 5.310 90.00 90.00 90.00
Last column: magnetic moment on the atom in μB.
Atoms (fractional coordinates):
Ru 0.000 0.000 0.000  1.09
Ru 0.500 0.500 0.000  1.13
Br 0.500 0.000 0.500  0.05
Ca 0.000 0.500 0.500  -0.02


Entry ii
Material: CaRu2Br
Method: DFT, PBE
State: optimized geometry

- N(E_F): 2.9 states/eV/cell
- Space-group type: No. 38
- Magnetic moment: 0.0 μB per formula unit

Lattice parameters (Å, degrees): 3.309 3.299 7.850 77.83 90.00 90.00
Atoms (fractional coordinates):
Br 0.000 0.301 0.524
Ru 0.000 0.040 0.044
Ru 0.500 0.476 0.171
Ca 0.500 0.683 0.761


Which structure wins on stability? entry ii wins.